1.
First-principles (GGA-PBE) data for a geometry-optimized TlCuPd2Br structure, as listed in the Alexandria database.

a b c (Å): 4.829 4.829 4.994
angles (deg): 90.00 90.00 90.00
Fractional positions:
1 Tl 0.000 0.000 0.000
2 Cu 0.000 0.000 0.500
3 Pd 0.000 0.500 0.500
4 Pd 0.500 0.000 0.500
5 Br 0.500 0.500 0.000

Properties
Raw total energy in eV/atom: -3.28
DOS(E_F) in states/eV per cell: 3.234
Symmetry: No. 123
Energy relative to the elements, uncorrected in eV per atom: 0.42

=====

2.
First-principles (GGA-PBE) data for a geometry-optimized Tl2CuPdBr structure, as listed in the Alexandria database.

a b c (Å): 5.429 5.429 4.830
angles (deg): 90.00 90.00 90.00
Fractional positions:
1 Tl 0.000 0.500 0.000
2 Tl 0.500 0.000 0.000
3 Cu 0.000 0.000 0.500
4 Pd 0.000 0.000 0.000
5 Br 0.500 0.500 0.500

Properties
Raw total energy in eV/atom: -3.18
DOS(E_F) in states/eV per cell: 1.159
Symmetry: No. 123
Energy relative to the elements, uncorrected in eV per atom: -0.04

=====

3.
First-principles (GGA-PBE) data for a geometry-optimized Tl2Cu2PdBr6 structure, as listed in the Alexandria database.

a b c (Å): 8.086 8.086 6.138
angles (deg): 96.46 96.46 53.25
Fractional positions:
1 Tl 0.190 0.190 0.243
2 Tl 0.810 0.810 0.757
3 Cu 0.475 0.475 0.771
4 Cu 0.525 0.525 0.229
5 Pd 0.000 0.000 0.500
6 Br 0.163 0.686 0.245
7 Br 0.312 0.312 0.751
8 Br 0.314 0.837 0.755
9 Br 0.686 0.163 0.245
10 Br 0.688 0.688 0.249
11 Br 0.837 0.314 0.755

Properties
Raw total energy in eV/atom: -3.05
Symmetry: No. 12
Energy relative to the elements, uncorrected in eV per atom: -0.49

=====

4.
First-principles (GGA-PBE) data for a geometry-optimized TlCuPdBr5 structure, as listed in the Alexandria database.

a b c (Å): 7.392 7.392 10.210
angles (deg): 104.65 104.65 104.75
Fractional positions:
1 Tl 0.165 0.835 0.750
2 Tl 0.835 0.165 0.250
3 Cu 0.201 0.799 0.250
4 Cu 0.799 0.201 0.750
5 Pd 0.500 0.500 0.000
6 Pd 0.500 0.500 0.500
7 Br 0.130 0.270 0.921
8 Br 0.203 0.610 0.412
9 Br 0.270 0.130 0.421
10 Br 0.390 0.797 0.088
11 Br 0.444 0.556 0.750
12 Br 0.556 0.444 0.250
13 Br 0.610 0.203 0.912
14 Br 0.730 0.870 0.579
15 Br 0.797 0.390 0.588
16 Br 0.870 0.730 0.079

Properties
Raw total energy in eV/atom: -2.93
DOS(E_F) in states/eV per cell: 5.221
Symmetry: No. 15
Energy relative to the elements, uncorrected in eV per atom: -0.42

=====

5.
First-principles (GGA-PBE) data for a geometry-optimized Tl3Cu2PdBr8 structure, as listed in the Alexandria database.

a b c (Å): 7.394 7.394 9.373
angles (deg): 90.00 90.00 120.00
Fractional positions:
1 Tl 0.000 0.000 0.000
2 Tl 0.333 0.667 0.621
3 Tl 0.667 0.333 0.379
4 Cu 0.333 0.667 0.205
5 Cu 0.667 0.333 0.795
6 Pd 0.000 0.000 0.500
7 Br 0.163 0.327 0.329
8 Br 0.163 0.837 0.329
9 Br 0.327 0.163 0.671
10 Br 0.333 0.667 0.959
11 Br 0.667 0.333 0.041
12 Br 0.673 0.837 0.329
13 Br 0.837 0.163 0.671
14 Br 0.837 0.673 0.671

Properties
Raw total energy in eV/atom: -2.92
DOS(E_F) in states/eV per cell: 5.055
Symmetry: No. 164
Energy relative to the elements, uncorrected in eV per atom: -0.50

=====

6.
First-principles (GGA-PBE) data for a geometry-optimized CuPdW2Br structure, as listed in the Alexandria database.

a b c (Å): 4.638 4.638 4.658
angles (deg): 90.00 90.00 90.00
Fractional positions:
1 Cu 0.000 0.000 0.000
2 Pd 0.000 0.000 0.500
3 W 0.000 0.500 0.000
4 W 0.500 0.000 0.000
5 Br 0.500 0.500 0.500

Properties
Raw total energy in eV/atom: -5.46
DOS(E_F) in states/eV per cell: 5.776
Symmetry: No. 123
Energy relative to the elements, uncorrected in eV per atom: 1.92

=====

7.
First-principles (GGA-PBE) data for a geometry-optimized ZrCuPdBr2 structure, as listed in the Alexandria database.

a b c (Å): 5.218 5.218 5.138
angles (deg): 90.00 90.00 90.00
Fractional positions:
1 Zr 0.000 0.000 0.000
2 Cu 0.000 0.000 0.500
3 Pd 0.500 0.500 0.500
4 Br 0.000 0.500 0.000
5 Br 0.500 0.000 0.000

Properties
Raw total energy in eV/atom: -3.92
DOS(E_F) in states/eV per cell: 2.807
Symmetry: No. 123
Energy relative to the elements, uncorrected in eV per atom: 0.32

=====

8.
First-principles (GGA-PBE) data for a geometry-optimized Pm2CuBr structure, as listed in the Alexandria database.

a b c (Å): 7.724 7.724 7.724
angles (deg): 31.05 31.05 31.05
Fractional positions:
1 Pm 0.239 0.239 0.239
2 Pm 0.761 0.761 0.761
3 Cu 0.500 0.500 0.500
4 Br 0.000 0.000 0.000

Properties
Raw total energy in eV/atom: -4.46
DOS(E_F) in states/eV per cell: 3.034
Symmetry: No. 166
Energy above the most stable polymorph in this dataset in eV/atom: 0.000
Energy relative to the elements, uncorrected in eV per atom: -0.65

=====

Copy entry 8 word for word.
First-principles (GGA-PBE) data for a geometry-optimized Pm2CuBr structure, as listed in the Alexandria database.

a b c (Å): 7.724 7.724 7.724
angles (deg): 31.05 31.05 31.05
Fractional positions:
1 Pm 0.239 0.239 0.239
2 Pm 0.761 0.761 0.761
3 Cu 0.500 0.500 0.500
4 Br 0.000 0.000 0.000

Properties
Raw total energy in eV/atom: -4.46
DOS(E_F) in states/eV per cell: 3.034
Symmetry: No. 166
Energy above the most stable polymorph in this dataset in eV/atom: 0.000
Energy relative to the elements, uncorrected in eV per atom: -0.65

=====

Copy entry 3 word for word.
First-principles (GGA-PBE) data for a geometry-optimized Tl2Cu2PdBr6 structure, as listed in the Alexandria database.

a b c (Å): 8.086 8.086 6.138
angles (deg): 96.46 96.46 53.25
Fractional positions:
1 Tl 0.190 0.190 0.243
2 Tl 0.810 0.810 0.757
3 Cu 0.475 0.475 0.771
4 Cu 0.525 0.525 0.229
5 Pd 0.000 0.000 0.500
6 Br 0.163 0.686 0.245
7 Br 0.312 0.312 0.751
8 Br 0.314 0.837 0.755
9 Br 0.686 0.163 0.245
10 Br 0.688 0.688 0.249
11 Br 0.837 0.314 0.755

Properties
Raw total energy in eV/atom: -3.05
Symmetry: No. 12
Energy relative to the elements, uncorrected in eV per atom: -0.49

=====

Repeat the third record exactly.
First-principles (GGA-PBE) data for a geometry-optimized Tl2Cu2PdBr6 structure, as listed in the Alexandria database.

a b c (Å): 8.086 8.086 6.138
angles (deg): 96.46 96.46 53.25
Fractional positions:
1 Tl 0.190 0.190 0.243
2 Tl 0.810 0.810 0.757
3 Cu 0.475 0.475 0.771
4 Cu 0.525 0.525 0.229
5 Pd 0.000 0.000 0.500
6 Br 0.163 0.686 0.245
7 Br 0.312 0.312 0.751
8 Br 0.314 0.837 0.755
9 Br 0.686 0.163 0.245
10 Br 0.688 0.688 0.249
11 Br 0.837 0.314 0.755

Properties
Raw total energy in eV/atom: -3.05
Symmetry: No. 12
Energy relative to the elements, uncorrected in eV per atom: -0.49